[1]
# Re2PRu, relaxed, DFT GGA-PBE
# - DOS at the Fermi energy (states/eV/cell) = 10.73
# - formation energy (eV per atom) = 0.04
# - calculated volume (A^3/atom) = 14.0
data_Re2PRu
_cell_length_a 2.8003
_cell_length_b 2.8003
_cell_length_c 24.7187
_cell_angle_alpha 90.00
_cell_angle_beta 90.00
_cell_angle_gamma 120.00
_symmetry_space_group_name_H-M 'R -3 m'
_symmetry_Int_Tables_number 166
_symmetry_space_group_name_Hall '-R 3 2"'
loop_
_atom_site_label
_atom_site_type_symbol
_atom_site_fract_x
_atom_site_fract_y
_atom_site_fract_z
_atom_site_occupancy
Re1 Re 0.0000 0.0000 0.2444 1
P1 P 0.0000 0.0000 0.5000 1
Ru1 Ru 0.0000 0.0000 0.0000 1


[2]
# Pm2SmDy2, relaxed, DFT GGA-PBE
# - DOS at the Fermi energy (states/eV/cell) = 20.15
# - formation energy (eV per atom) = 0.36
# - E above lowest polymorph (eV/atom) = 0.337
# - calculated volume (A^3/atom) = 35.0
data_Pm2SmDy2
_cell_length_a 4.607
_cell_length_b 4.607
_cell_length_c 16.487
_cell_angle_alpha 90.00
_cell_angle_beta 90.00
_cell_angle_gamma 90.00
_symmetry_space_group_name_H-M 'I 4/m m m'
_symmetry_Int_Tables_number 139
_symmetry_space_group_name_Hall '-I 4 2'
loop_
_atom_site_label
_atom_site_type_symbol
_atom_site_fract_x
_atom_site_fract_y
_atom_site_fract_z
_atom_site_occupancy
Pm1 Pm 0.000 0.500 0.250 1
Sm1 Sm 0.000 0.000 0.000 1
Dy1 Dy 0.000 0.000 0.407 1


[3]
# Ac2Pm5Sm6, relaxed, DFT GGA-PBE
# - DOS at the Fermi energy (states/eV/cell) = 35.26
# - formation energy (eV per atom) = 0.10
# - calculated volume (A^3/atom) = 36.1
data_Ac2Pm5Sm6
_cell_length_a 12.126
_cell_length_b 20.884
_cell_length_c 3.707
_cell_angle_alpha 90.00
_cell_angle_beta 90.00
_cell_angle_gamma 90.00
_symmetry_space_group_name_H-M 'P b a m'
_symmetry_Int_Tables_number 55
loop_
_symmetry_equiv_pos_as_xyz
'x,y,z'
'-x,-y,-z'
'-x,-y,z'
'x,y,-z'
'x+1/2,-y+1/2,-z'
'-x+1/2,y+1/2,z'
'-x+1/2,y+1/2,-z'
'x+1/2,-y+1/2,z'
loop_
_atom_site_label
_atom_site_type_symbol
_atom_site_fract_x
_atom_site_fract_y
_atom_site_fract_z
_atom_site_occupancy
Ac1 Ac 0.167 0.221 0.000 1
Pm1 Pm 0.000 0.500 0.500 1
Pm2 Pm 0.093 0.783 0.500 1
Pm3 Pm 0.201 0.054 0.500 1
Sm1 Sm 0.060 0.925 0.000 1
Sm2 Sm 0.073 0.638 0.000 1
Sm3 Sm 0.183 0.379 0.500 1


[4]
# Y2GaIr, relaxed, DFT GGA-PBE
# - DOS at the Fermi energy (states/eV/cell) = 7.47
# - formation energy (eV per atom) = -0.76
# - calculated volume (A^3/atom) = 22.8
data_Y2GaIr
_cell_length_a 5.819
_cell_length_b 4.332
_cell_length_c 7.755
_cell_angle_alpha 90.00
_cell_angle_beta 110.98
_cell_angle_gamma 90.00
_symmetry_space_group_name_H-M 'P 1 21/m 1'
_symmetry_Int_Tables_number 11
loop_
_symmetry_equiv_pos_as_xyz
'x,y,z'
'-x,-y,-z'
'-x,y+1/2,-z'
'x,-y+1/2,z'
loop_
_atom_site_label
_atom_site_type_symbol
_atom_site_fract_x
_atom_site_fract_y
_atom_site_fract_z
_atom_site_occupancy
Y1 Y 0.183 0.250 0.414 1
Y2 Y 0.269 0.750 0.063 1
Ga1 Ga 0.372 0.750 0.711 1
Ir1 Ir 0.146 0.250 0.785 1


The highest DOS at the Fermi energy belongs to which entry? Ac2Pm5Sm6